No. 1
ScTa2Ir: relaxed, PBE-GGA.

## Properties
- formation energy from the elements (eV per atom) = 0.1281
- M_tot (μB per formula unit) = 0.00
- DFT total energy (eV per cell) = -76.771
- DOS at the Fermi energy (states/eV per cell) = 8.21
- mass density (Mg/m³) = 12.42
- volume (Å³/atom) = 20.03

a b c (Å): 7.670 7.670 6.069
angles (deg): 50.81 50.81 90.00
Fractional coordinates of all 8 atoms:
1 Ir 0.750 0.250 0.500
2 Ir 0.000 0.000 0.000
3 Ta 0.672 0.125 0.250
4 Ta 0.375 0.328 0.750
5 Ta 0.875 0.922 0.750
6 Ta 0.078 0.625 0.250
7 Sc 0.500 0.500 0.000
8 Sc 0.250 0.750 0.500

No. 2
ScTa2Ir: relaxed, PBE-GGA.

## Properties
- formation energy from the elements (eV per atom) = -0.1029
- M_tot (μB per formula unit) = 0.00
- DFT total energy (eV per cell) = -39.309
- DOS at the Fermi energy (states/eV per cell) = 4.53
- mass density (Mg/m³) = 13.99
- volume (Å³/atom) = 17.78

a b c (Å): 5.361 5.361 5.361
angles (deg): 136.88 136.88 62.62
Fractional coordinates of all 4 atoms:
1 Ta 0.000 0.000 0.000
2 Ta 0.750 0.250 0.500
3 Ir 0.500 0.500 0.000
4 Sc 0.250 0.750 0.500

No. 3
Sc2Ta2Ir: relaxed, PBE-GGA.

## Properties
- formation energy from the elements (eV per atom) = -0.0633
- M_tot (μB per formula unit) = 0.00
- DFT total energy (eV per cell) = -91.092
- DOS at the Fermi energy (states/eV per cell) = 11.53
- mass density (Mg/m³) = 10.38
- volume (Å³/atom) = 20.61

a b c (Å): 6.638 6.638 4.677
angles (deg): 90.00 90.00 90.00
Fractional coordinates of all 10 atoms:
1 Ir 0.500 0.500 0.000
2 Ir 0.000 0.000 0.000
3 Ta 0.646 0.146 0.000
4 Ta 0.146 0.354 0.000
5 Ta 0.354 0.854 0.000
6 Ta 0.854 0.646 0.000
7 Sc 0.339 0.161 0.500
8 Sc 0.839 0.339 0.500
9 Sc 0.661 0.839 0.500
10 Sc 0.161 0.661 0.500

No. 4
ScTa2Ir: relaxed, PBE-GGA.

## Properties
- formation energy from the elements (eV per atom) = -0.2482
- M_tot (μB per formula unit) = 0.00
- DFT total energy (eV per cell) = -39.891
- DOS at the Fermi energy (states/eV per cell) = 5.78
- mass density (Mg/m³) = 14.30
- volume (Å³/atom) = 17.39

a b c (Å): 4.616 4.616 4.616
angles (deg): 60.00 60.00 60.00
Fractional coordinates of all 4 atoms:
1 Sc 0.750 0.750 0.750
2 Ta 0.000 0.000 0.000
3 Ta 0.250 0.250 0.250
4 Ir 0.500 0.500 0.500

No. 5
ScTa2Ir: relaxed, PBE-GGA.

## Properties
- formation energy from the elements (eV per atom) = -0.0071
- M_tot (μB per formula unit) = 0.00
- DFT total energy (eV per cell) = -38.926
- DOS at the Fermi energy (states/eV per cell) = 5.67
- mass density (Mg/m³) = 13.72
- volume (Å³/atom) = 18.13

a b c (Å): 9.728 9.728 9.728
angles (deg): 17.49 17.49 17.49
Fractional coordinates of all 4 atoms:
1 Ta 0.506 0.506 0.506
2 Ta 0.994 0.994 0.994
3 Ir 0.250 0.250 0.250
4 Sc 0.750 0.750 0.750

No. 6
ScTaIr: relaxed, PBE-GGA.

## Properties
- formation energy from the elements (eV per atom) = -0.5859
- M_tot (μB per formula unit) = 0.00
- DFT total energy (eV per cell) = -86.409
- excess energy over the best structure of this formula in the dataset (meV/atom) = 0
- DOS at the Fermi energy (states/eV per cell) = 6.49
- mass density (Mg/m³) = 12.11
- volume (Å³/atom) = 19.11

a b c (Å): 4.490 6.650 6.650
angles (deg): 120.00 90.00 90.00
Fractional coordinates of all 9 atoms:
1 Ir 0.500 0.333 0.667
2 Ir 0.500 0.667 0.333
3 Ir 0.000 0.000 0.000
4 Sc 0.000 0.578 0.578
5 Sc 0.000 0.000 0.422
6 Sc 0.000 0.422 0.000
7 Ta 0.500 0.000 0.751
8 Ta 0.500 0.751 0.000
9 Ta 0.500 0.249 0.249

No. 7
ScTa2Ir: relaxed, PBE-GGA.

## Properties
- formation energy from the elements (eV per atom) = -0.3113
- M_tot (μB per formula unit) = 0.00
- DFT total energy (eV per cell) = -40.143
- DOS at the Fermi energy (states/eV per cell) = 3.40
- mass density (Mg/m³) = 14.23
- volume (Å³/atom) = 17.48

a b c (Å): 3.169 4.562 4.836
angles (deg): 90.00 90.00 90.00
Fractional coordinates of all 4 atoms:
1 Ta 0.500 0.500 0.000
2 Ta 0.000 0.000 0.000
3 Ir 0.500 0.000 0.500
4 Sc 0.000 0.500 0.500

No. 8
ScTa2Ir2: relaxed, PBE-GGA.

## Properties
- formation energy from the elements (eV per atom) = -0.4338
- M_tot (μB per formula unit) = 0.47
- DFT total energy (eV per cell) = -99.856
- excess energy over the best structure of this formula in the dataset (meV/atom) = 40
- DOS at the Fermi energy (states/eV per cell) = 8.21
- mass density (Mg/m³) = 14.72
- volume (Å³/atom) = 17.85

a b c (Å): 7.913 7.913 2.851
angles (deg): 90.00 90.00 90.00
Site moments in Bohr magnetons follow the coordinates.
Fractional coordinates of all 10 atoms:
1 Ta 0.641 0.141 0.000  0.02
2 Ta 0.859 0.641 0.000  0.02
3 Ta 0.141 0.359 0.000  0.02
4 Ta 0.359 0.859 0.000  0.02
5 Ir 0.654 0.846 0.500  0.00
6 Ir 0.154 0.654 0.500  0.00
7 Ir 0.846 0.346 0.500  0.00
8 Ir 0.346 0.154 0.500  0.00
9 Sc 0.500 0.500 0.000  0.33
10 Sc 0.000 0.000 0.000  0.33